(1)
# LiTbEuCo | Alexandria | PBE-GGA | optimized geometry
data_LiTbEuCo
_chemical_formula_sum 'Li4 Tb4 Eu4 Co4'
_symmetry_space_group_name_H-M 'F -4 3 m'
_symmetry_Int_Tables_number 216
_symmetry_space_group_name_Hall 'F -4 2 3'
_cell_length_a 7.0141
_cell_length_b 7.0141
_cell_length_c 7.0141
_cell_angle_alpha 90.00
_cell_angle_beta 90.00
_cell_angle_gamma 90.00
loop_
_atom_site_label
_atom_site_type_symbol
_atom_site_fract_x
_atom_site_fract_y
_atom_site_fract_z
Li1 Li 0.0000 0.0000 0.0000
Tb1 Tb 0.2500 0.2500 0.2500
Eu1 Eu 0.2500 0.2500 0.7500
Co1 Co 0.0000 0.0000 0.5000
# ΔE_f (meV per atom): 91
# Magnetization (μB per cell): 28.32


(2)
# LiEuTmCo | Alexandria | PBE-GGA | optimized geometry
data_LiEuTmCo
_chemical_formula_sum 'Li4 Eu4 Tm4 Co4'
_symmetry_space_group_name_H-M 'F -4 3 m'
_symmetry_Int_Tables_number 216
_symmetry_space_group_name_Hall 'F -4 2 3'
_cell_length_a 6.9475
_cell_length_b 6.9475
_cell_length_c 6.9475
_cell_angle_alpha 90.00
_cell_angle_beta 90.00
_cell_angle_gamma 90.00
loop_
_atom_site_label
_atom_site_type_symbol
_atom_site_fract_x
_atom_site_fract_y
_atom_site_fract_z
Li1 Li 0.0000 0.0000 0.0000
Eu1 Eu 0.2500 0.2500 0.7500
Tm1 Tm 0.2500 0.2500 0.2500
Co1 Co 0.0000 0.0000 0.5000
# ΔE_f (meV per atom): 79
# Magnetization (μB per cell): 28.18


(3)
# LiEuYCo | Alexandria | PBE-GGA | optimized geometry
data_LiEuYCo
_chemical_formula_sum 'Li4 Eu4 Y4 Co4'
_symmetry_space_group_name_H-M 'F -4 3 m'
_symmetry_Int_Tables_number 216
_symmetry_space_group_name_Hall 'F -4 2 3'
_cell_length_a 7.0231
_cell_length_b 7.0231
_cell_length_c 7.0231
_cell_angle_alpha 90.00
_cell_angle_beta 90.00
_cell_angle_gamma 90.00
loop_
_atom_site_label
_atom_site_type_symbol
_atom_site_fract_x
_atom_site_fract_y
_atom_site_fract_z
Li1 Li 0.0000 0.0000 0.0000
Eu1 Eu 0.2500 0.2500 0.2500
Y1 Y 0.2500 0.2500 0.7500
Co1 Co 0.0000 0.0000 0.5000
# ΔE_f (meV per atom): 92
# Magnetization (μB per cell): 28.45


(4)
# EuLuCo | Alexandria | PBE-GGA | optimized geometry
data_EuLuCo
_chemical_formula_sum 'Eu2 Lu2 Co2'
_symmetry_space_group_name_H-M 'I 4 m m'
_symmetry_Int_Tables_number 107
_symmetry_space_group_name_Hall 'I 4 -2'
_cell_length_a 3.3879
_cell_length_b 3.3879
_cell_length_c 12.6928
_cell_angle_alpha 90.00
_cell_angle_beta 90.00
_cell_angle_gamma 90.00
loop_
_atom_site_label
_atom_site_type_symbol
_atom_site_fract_x
_atom_site_fract_y
_atom_site_fract_z
Eu1 Eu 0.0000 0.0000 0.0000
Lu1 Lu 0.0000 0.0000 0.2577
Co1 Co 0.0000 0.0000 0.6482
# ΔE_f (meV per atom): -13
# Magnetization (μB per cell): 13.31